Below is a relaxed Ga2TePdO8 crystal, with properties calculated at the GGA-PBE level.

a b c (Å): 5.6506 5.6506 5.6506
angles (deg): 110.96 110.96 106.54
Fractional positions:
1 Ga 0.7500 0.2500 0.5000
2 Ga 0.5000 0.5000 0.0000
3 Te 0.2500 0.7500 0.5000
4 Pd 0.0000 0.0000 0.0000
5 O 0.3474 0.0317 0.3158
6 O 0.3077 0.5085 0.2008
7 O 0.3077 0.1069 0.7992
8 O 0.7159 0.0317 0.6842
9 O 0.8931 0.6923 0.2008
10 O 0.9683 0.2841 0.3158
11 O 0.9683 0.6526 0.6842
12 O 0.4915 0.6923 0.7992

- VASP energy (eV/atom) = -5.291
- ρ (Mg/m³) = 6.007
- symmetry = I-4m2 (119)
- total magnetization (Bohr magnetons per cell) = 0.55

Below is a relaxed Ga2SbH crystal, with properties calculated at the GGA-PBE level.

a b c (Å): 4.7067 4.7067 7.6953
angles (deg): 72.19 72.19 90.00
Fractional positions:
1 Sb 0.0000 0.0000 0.0000
2 Sb 0.7500 0.2500 0.5000
3 Ga 0.5051 0.1250 0.2500
4 Ga 0.2449 0.6250 0.2500
5 Ga 0.3750 0.4949 0.7500
6 Ga 0.8750 0.7551 0.7500
7 H 0.5000 0.5000 0.0000
8 H 0.2500 0.7500 0.5000

- VASP energy (eV/atom) = -3.169
- ρ (Mg/m³) = 5.666
- symmetry = I-42d (122)
- total magnetization (Bohr magnetons per cell) = 0.00
- energy above the most stable polymorph in this dataset (meV/atom) = 79.5

Below is a relaxed AlTcPb2 crystal, with properties calculated at the GGA-PBE level.

a b c (Å): 3.3249 3.3249 8.3739
angles (deg): 90.00 90.00 90.01
Fractional positions:
1 Pb 0.0000 0.0000 0.9405
2 Pb 0.5000 0.5000 0.3250
3 Tc 0.0000 0.0000 0.5576
4 Al 0.5000 0.5000 0.6769

- VASP energy (eV/atom) = -5.229
- formation energy from the elements (eV per atom) = 0.152
- ρ (Mg/m³) = 9.675
- symmetry = P4mm (99)
- total magnetization (Bohr magnetons per cell) = 0.00

Below is a relaxed Sc2TaRe crystal, with properties calculated at the GGA-PBE level.

a b c (Å): 4.6997 2.8991 5.6022
angles (deg): 75.61 90.00 90.00
Fractional positions:
1 Re 0.5000 0.7500 0.7500
2 Sc 0.0000 0.9310 0.9900
3 Sc 0.0000 0.5690 0.5100
4 Ta 0.5000 0.2500 0.2500

- VASP energy (eV/atom) = -9.160
- formation energy from the elements (eV per atom) = 0.081
- ρ (Mg/m³) = 10.266
- symmetry = P2/m (10)
- total magnetization (Bohr magnetons per cell) = 0.00
- energy above the most stable polymorph in this dataset (meV/atom) = 193.0

Below is a relaxed PrDyGaPb crystal, with properties calculated at the GGA-PBE level.

a b c (Å): 5.3704 5.3704 5.3704
angles (deg): 60.00 60.00 60.00
Fractional positions:
1 Pb 0.5000 0.5000 0.5000
2 Pr 0.7500 0.7500 0.7500
3 Ga 0.0000 0.0000 0.0000
4 Dy 0.2500 0.2500 0.2500

- VASP energy (eV/atom) = -4.471
- formation energy from the elements (eV per atom) = -0.441
- ρ (Mg/m³) = 8.799
- symmetry = F-43m (216)
- total magnetization (Bohr magnetons per cell) = 0.00

Below is a relaxed TiAs2 crystal, with properties calculated at the GGA-PBE level.

a b c (Å): 3.5059 8.9636 13.2950
angles (deg): 90.00 90.00 90.00
Fractional positions:
1 Ti 0.0000 0.6718 0.9931
2 Ti 0.0000 0.5184 0.2474
3 Ti 0.0000 0.4816 0.7526
4 Ti 0.5000 0.8282 0.4931
5 Ti 0.5000 0.9816 0.7474
6 Ti 0.5000 0.1718 0.5069
7 Ti 0.5000 0.0184 0.2526
8 Ti 0.0000 0.3282 0.0069
9 As 0.5000 0.4886 0.8997
10 As 0.5000 0.7255 0.3019
11 As 0.0000 0.0114 0.3997
12 As 0.0000 0.7745 0.8019
13 As 0.5000 0.1145 0.0581
14 As 0.5000 0.3352 0.3387
15 As 0.5000 0.6648 0.6613
16 As 0.0000 0.1648 0.8387
17 As 0.0000 0.6145 0.4419
18 As 0.0000 0.3855 0.5581
19 As 0.0000 0.2255 0.1981
20 As 0.0000 0.9886 0.6003
21 As 0.5000 0.2745 0.6981
22 As 0.5000 0.5114 0.1003
23 As 0.0000 0.8352 0.1613
24 As 0.5000 0.8855 0.9419

- VASP energy (eV/atom) = -6.373
- formation energy from the elements (eV per atom) = -0.642
- ρ (Mg/m³) = 6.286
- symmetry = Pnnm (58)
- total magnetization (Bohr magnetons per cell) = 0.00